# 1
First-principles (PBE-GGA) data for a relaxed AcVZn2N4 crystal, as listed in Alexandria via LeMat-Bulk.

Lattice parameters (Å, degrees): 5.4092 5.4092 7.4254 90.00 90.00 90.00
With the nearest neighbours (Å) after each atom.
Fractional coordinates of all 16 atoms:
Ac  0.0000  0.0000  0.0000  4 N 2.58
Ac  0.5000  0.5000  0.5000  4 N 2.58
V  0.0000  0.0000  0.5000  4 N 1.84
V  0.5000  0.5000  0.0000  4 N 1.84
Zn  0.0000  0.5000  0.2500  4 N 2.11
Zn  0.0000  0.5000  0.7500  4 N 2.11
Zn  0.5000  0.0000  0.2500  4 N 2.11
Zn  0.5000  0.0000  0.7500  4 N 2.11
N  0.1935  0.1935  0.3539  1 V 1.84
N  0.1935  0.8065  0.6461  1 V 1.84
N  0.3065  0.3065  0.8539  1 V 1.84
N  0.3065  0.6935  0.1461  1 V 1.84
N  0.6935  0.3065  0.1461  1 V 1.84
N  0.6935  0.6935  0.8539  1 V 1.84
N  0.8065  0.1935  0.6461  1 V 1.84
N  0.8065  0.8065  0.3539  1 V 1.84

Computed properties:
* uncorrected formation energy: -633.2 meV/atom



# 2
First-principles (PBE-GGA) data for a relaxed AcHo4Tm10 crystal, as listed in Alexandria via LeMat-Bulk.

Lattice parameters (Å, degrees): 9.5853 9.5853 9.5853 96.59 96.59 140.39
With the nearest neighbours (Å) after each atom.
Fractional coordinates of all 15 atoms:
Ac  0.0000  0.0000  0.0000  8 Ho 4.05, 8 Tm 4.37
Ho  0.3221  0.4324  0.7545  6 Tm 3.32-3.46, 2 Ho 3.43
Ho  0.4324  0.6779  0.1103  6 Tm 3.32-3.46, 2 Ho 3.43
Ho  0.5676  0.3221  0.8897  6 Tm 3.32-3.46, 2 Ho 3.43
Ho  0.6779  0.5676  0.2455  6 Tm 3.32-3.46, 2 Ho 3.43
Tm  0.0404  0.6208  0.1611  4 Tm 3.14-3.25, 3 Ho 3.32-3.46
Tm  0.1208  0.9596  0.5804  4 Tm 3.14-3.25, 3 Ho 3.32-3.46
Tm  0.2500  0.7500  0.5000  6 Tm 3.14-3.25
Tm  0.3792  0.5403  0.4196  4 Tm 3.14-3.25, 3 Ho 3.32-3.46
Tm  0.4597  0.8792  0.8389  4 Tm 3.14-3.25, 3 Ho 3.32-3.46
Tm  0.5403  0.1208  0.1611  4 Tm 3.14-3.25, 3 Ho 3.32-3.46
Tm  0.6208  0.4597  0.5804  4 Tm 3.14-3.25, 3 Ho 3.32-3.46
Tm  0.7500  0.2500  0.5000  6 Tm 3.14-3.25
Tm  0.8792  0.0404  0.4196  4 Tm 3.14-3.25, 3 Ho 3.32-3.46
Tm  0.9596  0.3792  0.8389  4 Tm 3.14-3.25, 3 Ho 3.32-3.46

Computed properties:
* E_form: 544.6 meV/atom



# 3
First-principles (PBE-GGA) data for a relaxed Tb2AsO crystal, as listed in Alexandria via LeMat-Bulk.

Lattice parameters (Å, degrees): 3.8086 3.8086 18.5118 90.00 90.00 120.00
With the nearest neighbours (Å) after each atom.
Fractional coordinates of all 12 atoms:
Tb  0.0000  0.0000  0.2386  3 O 2.57, 3 As 2.81
Tb  0.0000  0.0000  0.7614  3 O 2.57, 3 As 2.81
Tb  0.3333  0.6667  0.4280  3 O 2.57, 3 As 2.81
Tb  0.3333  0.6667  0.9053  3 O 2.57, 3 As 2.81
Tb  0.6667  0.3333  0.0947  3 O 2.57, 3 As 2.81
Tb  0.6667  0.3333  0.5720  3 O 2.57, 3 As 2.81
As  0.0000  0.0000  0.0000  6 Tb 2.81
As  0.3333  0.6667  0.6667  6 Tb 2.81
As  0.6667  0.3333  0.3333  6 Tb 2.81
O  0.0000  0.0000  0.5000  6 Tb 2.57
O  0.3333  0.6667  0.1667  6 Tb 2.57
O  0.6667  0.3333  0.8333  6 Tb 2.57

Computed properties:
* energy relative to the lowest polymorph listed for this composition: 0.00 eV per formula unit
* uncorrected formation energy: -2020.9 meV/atom



# 4
First-principles (PBE-GGA) data for a relaxed Pm2NiGe6 crystal, as listed in Alexandria via LeMat-Bulk.

Lattice parameters (Å, degrees): 4.1294 11.0777 11.0777 21.16 90.00 90.00
With the nearest neighbours (Å) after each atom.
Fractional coordinates of all 9 atoms:
Pm  0.0000  0.0000  0.0000  10 Ge 3.06-3.27
Pm  0.0000  0.3344  0.3344  10 Ge 3.09-3.35, 4 Ni 3.16
Ni  0.5000  0.7761  0.7761  5 Ge 2.34-2.39
Ge  0.0000  0.6062  0.6062  1 Ge 2.50
Ge  0.0000  0.7209  0.7209  2 Ni 2.39, 1 Ge 2.50
Ge  0.5000  0.1052  0.1052  1 Ge 2.51
Ge  0.5000  0.2205  0.2205  2 Ni 2.37, 1 Ge 2.51
Ge  0.5000  0.4556  0.4556  2 Ge 2.57
Ge  0.5000  0.8835  0.8835  1 Ni 2.34, 2 Ge 2.57

Computed properties:
* energy relative to the lowest polymorph listed for this composition: 0.00 eV per formula unit
* E_form: -538.1 meV/atom



Number 1: electronic total energy -6.768 eV/atom. Number 2: electronic total energy -3.931 eV/atom. Number 3: electronic total energy -6.738 eV/atom. Number 4: electronic total energy -5.314 eV/atom.